Arrangement w

## CeHgH (PBE-GGA)

Data for a relaxed CeHgH crystal.

CIF file:
```
data_CeHgH
_symmetry_space_group_name_H-M 'P 4/n m m'
_symmetry_Int_Tables_number 129
_cell_length_a 4.057
_cell_length_b 4.057
_cell_length_c 7.245
_cell_angle_alpha 90.00
_cell_angle_beta 90.00
_cell_angle_gamma 90.00
loop_
_symmetry_equiv_pos_as_xyz
'x,y,z'
'-x,-y,-z'
'-y+1/2,x,z'
'y+1/2,-x,-z'
'-x+1/2,-y+1/2,z'
'x+1/2,y+1/2,-z'
'y,-x+1/2,z'
'-y,x+1/2,-z'
'x+1/2,-y,-z'
'-x+1/2,y,z'
'-y,-x,-z'
'y,x,z'
'-x,y+1/2,-z'
'x,-y+1/2,z'
'y+1/2,x+1/2,-z'
'-y+1/2,-x+1/2,z'
loop_
_atom_site_label
_atom_site_type_symbol
_atom_site_fract_x
_atom_site_fract_y
_atom_site_fract_z
Ce1 Ce 0.250 0.250 0.165
Hg1 Hg 0.250 0.250 0.616
H1 H 0.250 0.750 0.000
```

magnetization	1.1	μB per formula unit



Arrangement x

## CeHgH (PBE-GGA)

Data for a relaxed CeHgH crystal.

CIF file:
```
data_CeHgH
_symmetry_space_group_name_H-M 'I 4 m m'
_symmetry_Int_Tables_number 107
_symmetry_space_group_name_Hall 'I 4 -2'
_cell_length_a 3.272
_cell_length_b 3.272
_cell_length_c 11.301
_cell_angle_alpha 90.00
_cell_angle_beta 90.00
_cell_angle_gamma 90.00
loop_
_atom_site_label
_atom_site_type_symbol
_atom_site_fract_x
_atom_site_fract_y
_atom_site_fract_z
Ce1 Ce 0.000 0.000 0.000
Hg1 Hg 0.000 0.000 0.284
H1 H 0.000 0.000 0.547
```

magnetization	1.3	μB per formula unit



Relative energies, meV per atom: arrangement w 0; arrangement x 282.



Arrangement w

## CeHgH (PBE-GGA)

Data for a relaxed CeHgH crystal.

CIF file:
```
data_CeHgH
_symmetry_space_group_name_H-M 'P 3 m 1'
_symmetry_Int_Tables_number 156
_cell_length_a 3.8452
_cell_length_b 3.8452
_cell_length_c 4.9042
_cell_angle_alpha 90.00
_cell_angle_beta 90.00
_cell_angle_gamma 120.00
loop_
_symmetry_equiv_pos_as_xyz
'x,y,z'
'-y,x-y,z'
'-x+y,-x,z'
'-y,-x,z'
'-x+y,y,z'
'x,x-y,z'
loop_
_atom_site_label
_atom_site_type_symbol
_atom_site_fract_x
_atom_site_fract_y
_atom_site_fract_z
Ce1 Ce 0.0000 0.0000 0.0000
Hg1 Hg 0.3333 0.6667 0.5000
H1 H 0.6667 0.3333 0.0014
```

magnetization	0.8	μB per formula unit



Arrangement x

## CeHgH (PBE-GGA)

Data for a relaxed CeHgH crystal.

CIF file:
```
data_CeHgH
_symmetry_space_group_name_H-M 'P -3 m 1'
_symmetry_Int_Tables_number 164
_symmetry_space_group_name_Hall '-P 3 2"'
_cell_length_a 3.4407
_cell_length_b 3.4407
_cell_length_c 12.4875
_cell_angle_alpha 90.00
_cell_angle_beta 90.00
_cell_angle_gamma 120.00
loop_
_atom_site_label
_atom_site_type_symbol
_atom_site_fract_x
_atom_site_fract_y
_atom_site_fract_z
Ce1 Ce 0.3333 0.6667 0.3651
Hg1 Hg 0.3333 0.6667 0.1059
H1 H 0.3333 0.6667 0.5485
```

magnetization	1.3	μB per formula unit



Relative energies, meV per atom: arrangement w 0; arrangement x 158.



Arrangement w

## Ce3HgH3 (PBE-GGA)

Data for a relaxed Ce3HgH3 crystal.

CIF file:
```
data_Ce3HgH3
_symmetry_space_group_name_H-M 'R -3'
_symmetry_Int_Tables_number 148
_symmetry_space_group_name_Hall '-R 3'
_cell_length_a 6.5997
_cell_length_b 6.5997
_cell_length_c 22.8234
_cell_angle_alpha 90.00
_cell_angle_beta 90.00
_cell_angle_gamma 120.00
loop_
_atom_site_label
_atom_site_type_symbol
_atom_site_fract_x
_atom_site_fract_y
_atom_site_fract_z
Ce1 Ce 0.0025 0.3192 0.1001
Hg1 Hg 0.0000 0.0000 0.3328
H1 H 0.0023 0.3496 0.8680
```

magnetization	2.8	μB per formula unit



Arrangement x

## Ce3HgH3 (PBE-GGA)

Data for a relaxed Ce3HgH3 crystal.

CIF file:
```
data_Ce3HgH3
_symmetry_space_group_name_H-M 'P m -3 n'
_symmetry_Int_Tables_number 223
_symmetry_space_group_name_Hall '-P 4n 2 3'
_cell_length_a 6.395
_cell_length_b 6.395
_cell_length_c 6.395
_cell_angle_alpha 90.00
_cell_angle_beta 90.00
_cell_angle_gamma 90.00
loop_
_atom_site_label
_atom_site_type_symbol
_atom_site_fract_x
_atom_site_fract_y
_atom_site_fract_z
Ce1 Ce 0.000 0.250 0.500
Hg1 Hg 0.000 0.000 0.000
H1 H 0.000 0.500 0.250
```

magnetization	3.4	μB per formula unit



Relative energies, meV per atom: arrangement w 45; arrangement x 0.



Arrangement w

## Ce3HgH (PBE-GGA)

Data for a relaxed Ce3HgH crystal.

CIF file:
```
data_Ce3HgH
_symmetry_space_group_name_H-M 'C 1 2/m 1'
_symmetry_Int_Tables_number 12
_cell_length_a 11.215
_cell_length_b 6.725
_cell_length_c 5.961
_cell_angle_alpha 90.00
_cell_angle_beta 104.37
_cell_angle_gamma 90.00
loop_
_symmetry_equiv_pos_as_xyz
'x,y,z'
'-x,-y,-z'
'-x,y,-z'
'x,-y,z'
'x+1/2,y+1/2,z'
'-x+1/2,-y+1/2,-z'
'-x+1/2,y+1/2,-z'
'x+1/2,-y+1/2,z'
loop_
_atom_site_label
_atom_site_type_symbol
_atom_site_fract_x
_atom_site_fract_y
_atom_site_fract_z
Ce1 Ce 0.077 0.000 0.285
Ce2 Ce 0.114 0.256 0.796
Hg1 Hg 0.150 0.500 0.323
H1 H 0.228 0.000 0.064
```

magnetization	0.9	μB per formula unit



Arrangement x

## Ce3HgH (PBE-GGA)

Data for a relaxed Ce3HgH crystal.

CIF file:
```
data_Ce3HgH
_symmetry_space_group_name_H-M 'P 1'
_symmetry_Int_Tables_number 1
_cell_length_a 5.786
_cell_length_b 5.819
_cell_length_c 6.586
_cell_angle_alpha 89.95
_cell_angle_beta 89.97
_cell_angle_gamma 89.88
loop_
_symmetry_equiv_pos_as_xyz
'x,y,z'
loop_
_atom_site_label
_atom_site_type_symbol
_atom_site_fract_x
_atom_site_fract_y
_atom_site_fract_z
Ce1 Ce 0.000 0.000 0.000
Ce2 Ce 0.001 0.000 0.498
Ce3 Ce 0.488 0.304 0.747
Ce4 Ce 0.500 0.707 0.997
Ce5 Ce 0.501 0.707 0.499
Ce6 Ce 0.988 0.403 0.250
Hg1 Hg 0.493 0.185 0.248
Hg2 Hg 0.993 0.522 0.749
H1 H 0.193 0.754 0.249
H2 H 0.693 0.952 0.749
```

magnetization	2.1	μB per formula unit



Arrangement y

## Ce3HgH (PBE-GGA)

Data for a relaxed Ce3HgH crystal.

CIF file:
```
data_Ce3HgH
_symmetry_space_group_name_H-M 'P m -3 m'
_symmetry_Int_Tables_number 221
_symmetry_space_group_name_Hall '-P 4 2 3'
_cell_length_a 4.860
_cell_length_b 4.860
_cell_length_c 4.860
_cell_angle_alpha 90.00
_cell_angle_beta 90.00
_cell_angle_gamma 90.00
loop_
_atom_site_label
_atom_site_type_symbol
_atom_site_fract_x
_atom_site_fract_y
_atom_site_fract_z
Ce1 Ce 0.000 0.000 0.500
Hg1 Hg 0.500 0.500 0.500
H1 H 0.000 0.000 0.000
```

magnetization	3.7	μB per formula unit



Relative energies, meV per atom: arrangement w 0; arrangement x 43; arrangement y 66.